1.
The following is a DFT calculation (PBE) of a relaxed CeLuMnZn crystal.

Lattice parameters (Å, degrees): 7.003 7.003 7.003 90.00 90.00 90.00
Fractional positions:
Ce  0.000  0.000  0.000
Ce  0.000  0.500  0.500
Ce  0.500  0.000  0.500
Ce  0.500  0.500  0.000
Lu  0.000  0.000  0.500
Lu  0.000  0.500  0.000
Lu  0.500  0.000  0.000
Lu  0.500  0.500  0.500
Mn  0.250  0.250  0.750
Mn  0.250  0.750  0.250
Mn  0.750  0.250  0.250
Mn  0.750  0.750  0.750
Zn  0.250  0.250  0.250
Zn  0.250  0.750  0.750
Zn  0.750  0.250  0.750
Zn  0.750  0.750  0.250

Output
The density of states at the Fermi level comes out at 19.5 states/eV per cell. The calculation puts the formation energy from the elements at -0.033 eV/atom.

2.
The following is a DFT calculation (PBE) of a relaxed CeLuMo4 crystal.

Lattice parameters (Å, degrees): 5.505 5.505 5.505 60.00 60.00 60.00
Fractional positions:
Ce  0.000  0.000  0.000
Lu  0.250  0.250  0.250
Mo  0.124  0.625  0.625
Mo  0.625  0.124  0.625
Mo  0.625  0.625  0.124
Mo  0.625  0.625  0.625

Output
The density of states at the Fermi level comes out at 6.0 states/eV per cell. The calculation puts the formation energy from the elements at 0.112 eV/atom.

3.
The following is a DFT calculation (PBE) of a relaxed CeLu2N crystal.

Lattice parameters (Å, degrees): 3.069 3.069 8.573 90.00 90.00 90.00
Fractional positions:
Ce  0.000  0.000  0.000
Lu  0.500  0.500  0.338
Lu  0.500  0.500  0.662
N  0.000  0.000  0.500

Output
The value obtained for the formation energy from raw total energies is -0.2372 eV per atom. The density of states at the Fermi level comes out at 6.6 states/eV per cell.

4.
The following is a DFT calculation (PBE) of a relaxed CeLuN crystal.

Lattice parameters (Å, degrees): 3.402 3.402 6.225 90.00 90.00 120.00
Fractional positions:
Ce  0.000  0.000  0.000
Lu  0.333  0.667  0.442
N  0.667  0.333  0.251

Output
The value obtained for the formation energy from raw total energies is -0.9959 eV per atom. The density of states at the Fermi level comes out at 5.0 states/eV per cell. The relative energy among the computed polymorphs is 0 meV per atom.

5.
The following is a DFT calculation (PBE) of a relaxed CeLuN crystal.

Lattice parameters (Å, degrees): 6.004 6.004 6.004 90.00 90.00 90.00
Fractional positions:
Ce  0.000  0.000  0.000
Ce  0.000  0.500  0.500
Ce  0.500  0.000  0.500
Ce  0.500  0.500  0.000
Lu  0.000  0.000  0.500
Lu  0.000  0.500  0.000
Lu  0.500  0.000  0.000
Lu  0.500  0.500  0.500
N  0.250  0.250  0.250
N  0.250  0.750  0.750
N  0.750  0.250  0.750
N  0.750  0.750  0.250

Output
The value obtained for the formation energy from raw total energies is -0.2546 eV per atom. The density of states at the Fermi level comes out at 24.8 states/eV per cell. The relative energy among the computed polymorphs is 741 meV per atom.

6.
The following is a DFT calculation (PBE) of a relaxed CeLuN crystal.

Lattice parameters (Å, degrees): 4.721 4.721 7.727 90.00 90.00 90.00
Fractional positions:
Ce  0.000  0.000  0.000
Ce  0.500  0.500  0.500
Lu  0.000  0.000  0.480
Lu  0.500  0.500  0.980
N  0.000  0.000  0.742
N  0.500  0.500  0.242

Output
The value obtained for the formation energy from raw total energies is 0.1602 eV per atom. The density of states at the Fermi level comes out at 14.4 states/eV per cell. The relative energy among the computed polymorphs is 1156 meV per atom.

Total magnetic moment
In order: 7.16, 0.00, 0.86, 0.39, 3.15, 1.70
Unit: μB per cell
Theoretical density
In order: 8.42, 9.84, 10.37, 8.76, 10.10, 6.35
Unit: g/cm³